Density functional theory data (GGA-PBE) for SiSn2B after structural relaxation.

Cell lengths 5.7129, 5.7129, 11.2007 Å; angles 90.00, 90.00, 90.00 degrees
With the nearest neighbours (Å) after each atom.
Space group I-42d (No. 122)
Inequivalent atoms, fractional coordinates:
1 Si 0.0000 0.0000 0.0000  4 Sn 2.63
2 Sn 0.2008 0.2500 0.6250  2 B 2.31
3 B 0.0000 0.0000 0.5000  4 Sn 2.31

D(E_F) ... 2.13 states/eV/f.u.
Uncorrected formation energy ... 447 meV per atom
ΔE to the lowest computed polymorph ... 0.0 meV per atom
DFT total energy ... -73.27 eV for the cell shown